A plane-wave DFT calculation with PBE was carried out for a relaxed LaZn2H7 crystal.

The structure belongs to space group Cmmm (No. 65); the cell edges are 6.097, 9.068 and 3.536 Å and the angles 90.00°, 90.00° and 90.00°. Symmetry generates all atoms from La at (0.000, 0.000, 0.000), Zn at (0.000, 0.309, 0.500), H at (0.000, 0.273, 0.000), H at (0.000, 0.500, 0.500) and H at (0.177, 0.129, 0.500).

The value obtained for the magnetization is 0.00 μB per formula unit. The calculation puts the calculated total energy at -3.151 eV/atom. Its theoretical density is 4.7 g/cm3. The density of states at the Fermi level is 0.22 states/eV/f.u.